# NaAc2Ge2

An optimized crystal structure of NaAc2Ge2 (PBE, Alexandria).

Values from the calculation:
distance to the lowest polymorph of the same formula	57.0	meV per atom
ΔH_f (0 K)	-505	meV per atom

a b c (Å): 11.433 6.179 8.792
angles (deg): 90.00 105.61 90.00
Space group C2/c (No. 15)
Asymmetric unit:
Na  0.000  0.142  0.250 (multiplicity 4)
Ac  0.145  0.340  0.646 (multiplicity 8)
Ge  0.150  0.155  0.002 (multiplicity 8)